Be2NiHg after structural relaxation, computed with PBE.

The value obtained for the volume is 232 Å³/cell. The calculation puts the density of states at the Fermi level at 1.99 states/eV/f.u. The value obtained for the magnetization is 0.0 μB per cell. For the formation energy, the calculation gives 0.44 eV/atom.

Lattice parameters (Å, degrees): 3.9225 3.9225 15.0814 90.00 90.00 90.00
With the nearest neighbours (Å) after each atom.
Space group I-42d (No. 122)
Symmetry-distinct sites (fractional):
Be (0.0891, 0.2500, 0.1250)  2 Be 2.08, 2 Ni 2.15
Ni (0.0000, 0.0000, 0.0000)  4 Be 2.15
Hg (0.0000, 0.0000, 0.5000)  4 Be 2.67, 4 Ni 2.77


Cu5PbCl12 after structural relaxation, computed with PBE.

The value obtained for the volume is 924 Å³/cell. The calculation puts the density of states at the Fermi level at 4.30 states/eV/f.u. The value obtained for the magnetization is 10.1 μB per cell. The uncorrected formation energy is -0.54 eV/atom.

Lattice parameters (Å, degrees): 6.9540 10.3701 13.1188 90.00 102.35 90.00
With the nearest neighbours (Å) after each atom.
Space group C2/m (No. 12)
Symmetry-distinct sites (fractional):
Cu (0.0000, 0.0000, 0.0000)  4 Cl 2.31
Cu (0.0000, 0.3334, 0.0000)  4 Cl 2.31-2.32
Cu (0.0000, 0.3485, 0.5000)  4 Cl 2.27-2.43
Pb (0.0000, 0.0000, 0.5000)  6 Cl 2.88-2.92
Cl (0.0623, 0.5000, 0.8946)  2 Cu 2.31
Cl (0.0632, 0.1665, 0.8945)  2 Cu 2.31-2.32
Cl (0.1983, 0.5000, 0.6196)  2 Cu 2.43
Cl (0.2042, 0.3219, 0.3876)  1 Cu 2.27


LaTb2PrSe4 after structural relaxation, computed with PBE.

The value obtained for the volume is 208 Å³/cell. The calculation puts the density of states at the Fermi level at 4.53 states/eV/f.u. The value obtained for the magnetization is 0.0 μB per cell. The uncorrected formation energy is -1.85 eV/atom.

Lattice parameters (Å, degrees): 7.1945 4.1269 7.4095 90.00 108.69 90.00
With the nearest neighbours (Å) after each atom.
Space group P2/m (No. 10)
Symmetry-distinct sites (fractional):
La (0.0000, 0.0000, 0.0000)  6 Se 3.04
Tb (0.0000, 0.5000, 0.5000)  6 Se 2.90
Tb (0.5000, 0.0000, 0.5000)  6 Se 2.89-2.90
Pr (0.5000, 0.5000, 0.0000)  6 Se 3.03
Se (0.2450, 0.0000, 0.7338)  3 Tb 2.90, 2 Pr 3.03, 1 La 3.04
Se (0.2565, 0.5000, 0.2669)  3 Tb 2.89-2.90, 1 Pr 3.03, 2 La 3.04


Ac3TlCu after structural relaxation, computed with PBE.

The value obtained for the volume is 195 Å³/cell. The calculation puts the density of states at the Fermi level at 9.94 states/eV/f.u. The value obtained for the magnetization is 0.0 μB per cell. Its energy above the lowest structure with this stoichiometry is 0.224 eV per atom. For the formation energy, the calculation gives 0.05 eV/atom.

Lattice parameters (Å, degrees): 5.8014 5.8014 5.8014 90.00 90.00 90.00
With the nearest neighbours (Å) after each atom.
Space group Pm-3m (No. 221)
Symmetry-distinct sites (fractional):
Ac (0.0000, 0.0000, 0.5000)  2 Cu 2.90
Tl (0.5000, 0.5000, 0.5000)  12 Ac 4.10
Cu (0.0000, 0.0000, 0.0000)  6 Ac 2.90


KSn after structural relaxation, computed with PBE.

The value obtained for the volume is 1128 Å³/cell. The value obtained for the magnetization is 0.0 μB per cell. For the formation energy, the calculation gives -0.15 eV/atom.

Lattice parameters (Å, degrees): 10.4100 10.4100 10.4100 90.00 90.00 90.00
With the nearest neighbours (Å) after each atom.
Space group I-43m (No. 217)
Symmetry-distinct sites (fractional):
K (0.2073, 0.2073, 0.2073)  4 Sn 3.45-3.57
Sn (0.1012, 0.1012, 0.8988)  3 Sn 2.98


NdThAgRh after structural relaxation, computed with PBE.

The value obtained for the volume is 388 Å³/cell. The calculation puts the density of states at the Fermi level at 3.88 states/eV/f.u. The value obtained for the magnetization is 0.0 μB per cell. For the formation energy, the calculation gives -0.39 eV/atom.

Lattice parameters (Å, degrees): 7.2917 7.2917 7.2917 90.00 90.00 90.00
With the nearest neighbours (Å) after each atom.
Space group F-43m (No. 216)
Symmetry-distinct sites (fractional):
Nd (0.0000, 0.0000, 0.0000)  4 Rh 3.16, 4 Ag 3.16
Th (0.0000, 0.0000, 0.5000)  4 Rh 3.16, 4 Ag 3.16
Ag (0.2500, 0.2500, 0.2500)  4 Th 3.16, 4 Nd 3.16
Rh (0.2500, 0.2500, 0.7500)  4 Th 3.16, 4 Nd 3.16


KTlTc2Pb after structural relaxation, computed with PBE.

The value obtained for the volume is 158 Å³/cell. The calculation puts the density of states at the Fermi level at 5.28 states/eV/f.u. The value obtained for the magnetization is 6.6 μB per cell. For the formation energy, the calculation gives 2.34 eV/atom.

Lattice parameters (Å, degrees): 5.3004 5.3004 5.6294 90.00 90.00 90.00
With the nearest neighbours (Å) after each atom.
Space group P4/mmm (No. 123)
Symmetry-distinct sites (fractional):
K (0.0000, 0.0000, 0.0000)  4 Tc 2.65, 2 Tl 2.81
Tl (0.0000, 0.0000, 0.5000)  2 K 2.81
Tc (0.0000, 0.5000, 0.0000)  2 K 2.65
Pb (0.5000, 0.5000, 0.5000)  4 Tl 3.75, 8 Tc 3.87


Be2CrIr after structural relaxation, computed with PBE.

The value obtained for the volume is 137 Å³/cell. The calculation puts the density of states at the Fermi level at 4.06 states/eV/f.u. The value obtained for the magnetization is 0.7 μB per cell. For the formation energy, the calculation gives 0.08 eV/atom.

Lattice parameters (Å, degrees): 2.6427 2.6427 22.6415 90.00 90.00 120.00
With the nearest neighbours (Å) after each atom.
Space group R-3m (No. 166, hexagonal axes)
Symmetry-distinct sites (fractional):
Be (0.0000, 0.0000, 0.2485)  3 Ir 2.40, 3 Cr 2.45, 6 Be 2.64
Cr (0.0000, 0.0000, 0.0000)  6 Be 2.45, 6 Cr 2.64
Ir (0.0000, 0.0000, 0.5000)  6 Be 2.40, 6 Ir 2.64


Cs2PaAlTe5 after structural relaxation, computed with PBE.

The value obtained for the volume is 1646 Å³/cell. The calculation puts the density of states at the Fermi level at 1.95 states/eV/f.u. The value obtained for the magnetization is 0.6 μB per cell. The uncorrected formation energy is -0.85 eV/atom.

Lattice parameters (Å, degrees): 4.4879 22.5460 16.2631 90.00 90.00 90.00
With the nearest neighbours (Å) after each atom.
Space group Cmc2_1 (No. 36)
Symmetry-distinct sites (fractional):
Cs (0.0000, 0.1196, 0.0000)  6 Te 3.79-4.06
Cs (0.0000, 0.1289, 0.3609)  7 Te 3.81-4.23
Pa (0.0000, 0.1992, 0.6955)  6 Te 2.84-3.12
Al (0.0000, 0.4271, 0.0930)  4 Te 2.52-2.78
Te (0.0000, 0.0607, 0.6923)  2 Al 2.78
Te (0.0000, 0.3064, 0.3190)  2 Pa 3.01
Te (0.0000, 0.3083, 0.0632)  1 Al 2.72
Te (0.0000, 0.3246, 0.6784)  1 Pa 2.84
Te (0.0000, 0.4867, 0.9622)  1 Al 2.52


Sm2HoSe4 after structural relaxation, computed with PBE.

The value obtained for the volume is 786 Å³/cell. The calculation puts the density of states at the Fermi level at 2.03 states/eV/f.u. The value obtained for the magnetization is 0.0 μB per cell. The uncorrected formation energy is -1.87 eV/atom. Its energy above the lowest structure with this stoichiometry is 0.000 eV per atom.

Lattice parameters (Å, degrees): 8.2506 8.2960 11.4903 90.00 90.00 90.00
With the nearest neighbours (Å) after each atom.
Space group Imma (No. 74)
Symmetry-distinct sites (fractional):
Sm (0.0000, 0.0000, 0.0000)  6 Se 2.93-2.96
Sm (0.2500, 0.2500, 0.2500)  6 Se 2.91-2.96
Ho (0.2500, 0.2500, 0.7500)  6 Se 2.84-2.89
Se (0.0000, 0.0060, 0.7428)  2 Ho 2.89, 3 Sm 2.96
Se (0.2500, 0.2500, 0.5031)  1 Ho 2.84, 3 Sm 2.91-2.93


Sc3AgSn after structural relaxation, computed with PBE.

The value obtained for the volume is 153 Å³/cell. The calculation puts the density of states at the Fermi level at 5.11 states/eV/f.u. The value obtained for the magnetization is 2.4 μB per cell. Its energy above the lowest structure with this stoichiometry is 0.297 eV per atom. For the formation energy, the calculation gives 0.42 eV/atom.

Lattice parameters (Å, degrees): 5.3510 5.3510 5.3510 90.00 90.00 90.00
With the nearest neighbours (Å) after each atom.
Space group Pm-3m (No. 221)
Symmetry-distinct sites (fractional):
Sc (0.0000, 0.0000, 0.5000)  2 Sn 2.68
Ag (0.5000, 0.5000, 0.5000)  12 Sc 3.78
Sn (0.0000, 0.0000, 0.0000)  6 Sc 2.68


Ba4BiSbS after structural relaxation, computed with PBE.

The value obtained for the volume is 1269 Å³/cell. The value obtained for the magnetization is 0.0 μB per cell. The uncorrected formation energy is -1.19 eV/atom.

Lattice parameters (Å, degrees): 8.2987 18.4173 8.3036 90.00 90.00 90.00
With the nearest neighbours (Å) after each atom.
Space group Cmcm (No. 63)
Symmetry-distinct sites (fractional):
Ba (0.0000, 0.0699, 0.2500)  1 S 3.29, 1 Sb 3.47
Ba (0.0000, 0.4265, 0.2500)  1 S 3.28, 1 Bi 3.50
Ba (0.2500, 0.2500, 0.0000)  2 S 2.94
Bi (0.0000, 0.3836, 0.7500)  5 Ba 3.50-3.83
Sb (0.0000, 0.1187, 0.7500)  5 Ba 3.47-3.80
S (0.0000, 0.2483, 0.2500)  6 Ba 2.94-3.29


Ac3PrTl after structural relaxation, computed with PBE.

The value obtained for the volume is 761 Å³/cell. The calculation puts the density of states at the Fermi level at 6.61 states/eV/f.u. The value obtained for the magnetization is 0.0 μB per cell. Its energy above the lowest structure with this stoichiometry is 0.000 eV per atom. For the formation energy, the calculation gives -0.08 eV/atom.

Lattice parameters (Å, degrees): 5.2626 27.4421 5.2686 90.00 90.00 90.00
With the nearest neighbours (Å) after each atom.
Space group Cmcm (No. 63)
Symmetry-distinct sites (fractional):
Ac (0.0000, 0.0540, 0.2500)  8 Ac 3.72-4.03, 2 Pr 3.78, 2 Tl 3.79
Ac (0.0000, 0.2503, 0.2500)  4 Ac 3.72, 4 Tl 3.73-3.75, 4 Pr 3.74-3.75
Ac (0.0000, 0.4429, 0.2500)  2 Pr 3.72, 8 Ac 3.72-4.09, 2 Tl 3.73
Pr (0.0000, 0.3472, 0.7500)  8 Ac 3.72-3.78, 4 Tl 3.72
Tl (0.0000, 0.1533, 0.7500)  4 Pr 3.72, 8 Ac 3.73-3.79


no.,total DFT energy (no corrections) (eV/atom)
1,-2.946
2,-3.112
3,-5.966
4,-3.707
5,-2.703
6,-5.983
7,-3.240
8,-6.405
9,-4.255
10,-5.862
11,-4.747
12,-4.021
13,-3.977